Entry 1:
This record from the Alexandria database describes VGa2Ag after structural relaxation. The functional is GGA-PBE.

a b c (Å): 4.5002 4.5002 4.5002
angles (deg): 60.00 60.00 60.00
Last column: nearest neighbours and their distance in Å.
Atoms (fractional coordinates):
V: 0.0000 0.0000 0.0000  8 Ga 2.76
Ga: 0.2500 0.2500 0.2500  4 Ag 2.76, 4 V 2.76
Ga: 0.7500 0.7500 0.7500  4 V 2.76, 4 Ag 2.76
Ag: 0.5000 0.5000 0.5000  8 Ga 2.76

Calculated values
Calculated density   7.7 g/cm³
E above lowest polymorph   0.163 eV/atom
DFT formation energy   0.1056 eV/atom
SG   No. 225
Fermi-level density of states   2.93 states/eV/f.u.
Crystal system   cubic

---

Entry 2:
This record from the Alexandria database describes VGaAg after structural relaxation. The functional is GGA-PBE.

a b c (Å): 6.5187 6.5187 6.5187
angles (deg): 155.84 155.84 34.43
Last column: nearest neighbours and their distance in Å.
Atoms (fractional coordinates):
V: 0.0000 0.0000 0.0000  4 Ga 2.69, 4 V 2.73, 4 Ag 2.88
Ga: 0.6510 0.6510 0.0000  4 V 2.69, 4 Ga 2.73, 4 Ag 2.93
Ag: 0.3278 0.3278 0.0000  4 Ag 2.73, 4 V 2.88, 4 Ga 2.93

Calculated values
Calculated density   8.2 g/cm³
DFT formation energy   0.0635 eV/atom
SG   No. 107
Fermi-level density of states   2.30 states/eV/f.u.
Crystal system   tetragonal

---

Entry 3:
This record from the Alexandria database describes VGa2Ag after structural relaxation. The functional is GGA-PBE.

a b c (Å): 9.8760 9.8760 9.8760
angles (deg): 16.61 16.61 16.61
Last column: nearest neighbours and their distance in Å.
Atoms (fractional coordinates):
V: 0.0000 0.0000 0.0000  2 Ga 2.53
Ga: 0.0865 0.0865 0.0865  1 V 2.53
Ga: 0.9135 0.9135 0.9135  1 V 2.53
Ag: 0.5000 0.5000 0.5000  6 Ag 2.85, 6 Ga 2.86

Calculated values
Calculated density   7.2 g/cm³
E above lowest polymorph   0.377 eV/atom
DFT formation energy   0.3200 eV/atom
SG   No. 166
Fermi-level density of states   3.65 states/eV/f.u.
Crystal system   trigonal

---

Entry 4:
This record from the Alexandria database describes VGa2Ag after structural relaxation. The functional is GGA-PBE.

a b c (Å): 2.7613 2.7613 8.1440
angles (deg): 90.00 90.00 90.00
Last column: nearest neighbours and their distance in Å.
Atoms (fractional coordinates):
V: 0.0000 0.0000 0.0000  8 Ga 2.70, 4 V 2.76
Ga: 0.5000 0.5000 0.2296  4 V 2.70, 4 Ga 2.76, 4 Ag 2.94
Ga: 0.5000 0.5000 0.7704  4 V 2.70, 4 Ga 2.76, 4 Ag 2.94
Ag: 0.0000 0.0000 0.5000  4 Ag 2.76, 8 Ga 2.94

Calculated values
Calculated density   8.0 g/cm³
E above lowest polymorph   0.000 eV/atom
DFT formation energy   -0.0571 eV/atom
SG   No. 123
Fermi-level density of states   1.59 states/eV/f.u.
Crystal system   tetragonal

---

Entry 5:
This record from the Alexandria database describes VGaAg after structural relaxation. The functional is GGA-PBE.

a b c (Å): 2.7257 2.7257 12.5707
angles (deg): 90.03 90.03 89.75
Last column: nearest neighbours and their distance in Å.
Atoms (fractional coordinates):
V: 0.2491 0.2491 0.4184  4 Ga 2.72, 8 V 2.73-2.82
V: 0.7509 0.7509 0.5816  4 Ga 2.72, 8 V 2.73-2.82
Ga: 0.2513 0.2513 0.7343  4 V 2.72, 4 Ga 2.73, 4 Ag 2.90-2.91
Ga: 0.7487 0.7487 0.2657  4 V 2.72, 4 Ga 2.73, 4 Ag 2.90-2.91
Ag: 0.2498 0.2498 0.0929  8 Ag 2.73-3.03, 4 Ga 2.90-2.91
Ag: 0.7502 0.7502 0.9071  8 Ag 2.73-3.03, 4 Ga 2.90-2.91

Calculated values
Calculated density   8.1 g/cm³
DFT formation energy   -0.0059 eV/atom
SG   No. 12
Fermi-level density of states   1.82 states/eV/f.u.
Crystal system   monoclinic

---

Entry 6:
This record from the Alexandria database describes VGaAg after structural relaxation. The functional is GGA-PBE.

a b c (Å): 2.8098 4.3463 7.6607
angles (deg): 90.00 97.13 90.00
Last column: nearest neighbours and their distance in Å.
Atoms (fractional coordinates):
V: 0.1207 0.2500 0.0885  3 Ga 2.54-2.68, 4 V 2.61-2.81
V: 0.8793 0.7500 0.9115  3 Ga 2.54-2.68, 4 V 2.61-2.81
Ga: 0.3986 0.2500 0.7852  3 V 2.54-2.68, 2 Ag 2.69, 2 Ga 2.81
Ga: 0.6014 0.7500 0.2148  3 V 2.54-2.68, 2 Ag 2.69, 2 Ga 2.81
Ag: 0.2741 0.7500 0.5779  2 Ga 2.69, 6 Ag 2.81-2.85, 2 V 2.89-2.91
Ag: 0.7259 0.2500 0.4221  2 Ga 2.69, 6 Ag 2.81-2.85, 2 V 2.89-2.91

Calculated values
Calculated density   8.2 g/cm³
DFT formation energy   -0.0573 eV/atom
SG   No. 11
Fermi-level density of states   2.05 states/eV/f.u.
Crystal system   monoclinic

---

Entry 7:
This record from the Alexandria database describes VGaAg after structural relaxation. The functional is GGA-PBE.

a b c (Å): 2.7349 2.7349 12.6761
angles (deg): 90.08 90.08 99.60
Last column: nearest neighbours and their distance in Å.
Atoms (fractional coordinates):
V: 0.2463 0.2463 0.0783  8 V 2.64-2.88, 4 Ga 2.64-2.87
V: 0.7537 0.7537 0.9217  8 V 2.64-2.88, 4 Ga 2.64-2.87
Ga: 0.2526 0.2526 0.7664  4 V 2.64-2.87, 4 Ga 2.73, 2 Ag 2.82
Ga: 0.7474 0.7474 0.2336  4 V 2.64-2.87, 4 Ga 2.73, 2 Ag 2.82
Ag: 0.2491 0.2491 0.4069  6 Ag 2.73-2.95, 4 Ga 2.82-3.03
Ag: 0.7509 0.7509 0.5931  6 Ag 2.73-2.95, 4 Ga 2.82-3.03

Calculated values
Calculated density   8.1 g/cm³
DFT formation energy   -0.0064 eV/atom
SG   No. 12
Fermi-level density of states   1.73 states/eV/f.u.
Crystal system   monoclinic

---

Entry 8:
This record from the Alexandria database describes VGa3Ag after structural relaxation. The functional is GGA-PBE.

a b c (Å): 4.7896 4.7896 4.7896
angles (deg): 90.00 90.00 90.00
Last column: nearest neighbours and their distance in Å.
Atoms (fractional coordinates):
V: 0.0000 0.0000 0.0000  6 Ga 2.39
Ga: 0.0000 0.0000 0.5000  2 V 2.39
Ga: 0.0000 0.5000 0.0000  2 V 2.39
Ga: 0.5000 0.0000 0.0000  2 V 2.39
Ag: 0.5000 0.5000 0.5000  12 Ga 3.39

Calculated values
Calculated density   5.6 g/cm³
E above lowest polymorph   0.000 eV/atom
DFT formation energy   0.5086 eV/atom
SG   No. 221
Fermi-level density of states   2.20 states/eV/f.u.
Crystal system   cubic

---

- What is the calculated density in the second record?
  8.2 g/cm³

---

Repeat the eighth record exactly.
This record from the Alexandria database describes VGa3Ag after structural relaxation. The functional is GGA-PBE.

a b c (Å): 4.7896 4.7896 4.7896
angles (deg): 90.00 90.00 90.00
Last column: nearest neighbours and their distance in Å.
Atoms (fractional coordinates):
V: 0.0000 0.0000 0.0000  6 Ga 2.39
Ga: 0.0000 0.0000 0.5000  2 V 2.39
Ga: 0.0000 0.5000 0.0000  2 V 2.39
Ga: 0.5000 0.0000 0.0000  2 V 2.39
Ag: 0.5000 0.5000 0.5000  12 Ga 3.39

Calculated values
Calculated density   5.6 g/cm³
E above lowest polymorph   0.000 eV/atom
DFT formation energy   0.5086 eV/atom
SG   No. 221
Fermi-level density of states   2.20 states/eV/f.u.
Crystal system   cubic